## A
VASP calculation (PBE) on a geometry-optimized V3HgBi structure.

Its size of the total moment is 10.33 μB per cell.

It has space group Pm-3m (No. 221), with a = 5.248 Å, b = 5.248 Å, c = 5.248 Å, α = 90.00°, β = 90.00° and γ = 90.00°. Symmetry generates all atoms from V at (0.000, 0.000, 0.500), Hg at (0.500, 0.500, 0.500) and Bi at (0.000, 0.000, 0.000).

=====

## B
VASP calculation (PBE) on a geometry-optimized V3HgBi structure.

Its size of the total moment is 7.27 μB per cell.

It has space group Pm-3m (No. 221), with a = 5.005 Å, b = 5.005 Å, c = 5.005 Å, α = 90.00°, β = 90.00° and γ = 90.00°. Symmetry generates all atoms from V at (0.000, 0.000, 0.500), Hg at (0.000, 0.000, 0.000) and Bi at (0.500, 0.500, 0.500).

=====

The most stable arrangement is B, and the next structure is 123 meV per atom less stable.

=====

## A
VASP calculation (PBE) on a geometry-optimized VHgBi3 structure.

Its size of the total moment is 3.68 μB per cell.

It has space group Pm-3m (No. 221), with a = 5.661 Å, b = 5.661 Å, c = 5.661 Å, α = 90.00°, β = 90.00° and γ = 90.00°. Symmetry generates all atoms from V at (0.000, 0.000, 0.000), Hg at (0.500, 0.500, 0.500) and Bi at (0.000, 0.500, 0.500).

=====

## B
VASP calculation (PBE) on a geometry-optimized VHgBi3 structure.

Its size of the total moment is 0.00 μB per cell.

It has space group Pm-3m (No. 221), with a = 5.316 Å, b = 5.316 Å, c = 5.316 Å, α = 90.00°, β = 90.00° and γ = 90.00°. Symmetry generates all atoms from V at (0.000, 0.000, 0.000), Hg at (0.500, 0.500, 0.500) and Bi at (0.000, 0.000, 0.500).

=====

The most stable arrangement is B, and the next structure is 822 meV per atom less stable.

=====

## A
VASP calculation (PBE) on a geometry-optimized HgBiW3 structure.

Its size of the total moment is 0.00 μB per cell.

It has space group Pm-3m (No. 221), with a = 4.985 Å, b = 4.985 Å, c = 4.985 Å, α = 90.00°, β = 90.00° and γ = 90.00°. Symmetry generates all atoms from Hg at (0.000, 0.000, 0.000), Bi at (0.500, 0.500, 0.500) and W at (0.000, 0.000, 0.500).

=====

## B
VASP calculation (PBE) on a geometry-optimized HgBiW3 structure.

Its size of the total moment is 0.00 μB per cell.

It has space group Pm-3m (No. 221), with a = 5.027 Å, b = 5.027 Å, c = 5.027 Å, α = 90.00°, β = 90.00° and γ = 90.00°. Symmetry generates all atoms from Hg at (0.000, 0.000, 0.000), Bi at (0.500, 0.500, 0.500) and W at (0.000, 0.500, 0.500).

=====

The most stable arrangement is A, and the next structure is 206 meV per atom less stable.

=====

## A
VASP calculation (PBE) on a geometry-optimized HgBi3W structure.

Its size of the total moment is 0.00 μB per cell.

It has space group Pm-3m (No. 221), with a = 5.447 Å, b = 5.447 Å, c = 5.447 Å, α = 90.00°, β = 90.00° and γ = 90.00°. Symmetry generates all atoms from Hg at (0.000, 0.000, 0.000), Bi at (0.000, 0.500, 0.500) and W at (0.500, 0.500, 0.500).

=====

## B
VASP calculation (PBE) on a geometry-optimized HgBi3W structure.

Its size of the total moment is 3.45 μB per cell.

It has space group Pm-3m (No. 221), with a = 5.603 Å, b = 5.603 Å, c = 5.603 Å, α = 90.00°, β = 90.00° and γ = 90.00°. Symmetry generates all atoms from Hg at (0.000, 0.000, 0.000), Bi at (0.000, 0.000, 0.500) and W at (0.500, 0.500, 0.500).

=====

The most stable arrangement is A, and the next structure is 1075 meV per atom less stable.

=====

## A
VASP calculation (PBE) on a geometry-optimized Y2HgBi2 structure.

Its size of the total moment is 0.00 μB per cell.

It has space group P4/mbm (No. 127), with a = 8.492 Å, b = 8.492 Å, c = 4.156 Å, α = 90.00°, β = 90.00° and γ = 90.00°. Symmetry generates all atoms from Y at (0.149, 0.351, 0.000), Hg at (0.000, 0.000, 0.000) and Bi at (0.156, 0.656, 0.500).

=====

## B
VASP calculation (PBE) on a geometry-optimized Y2HgBi2 structure.

Its size of the total moment is 0.00 μB per cell.

It has space group I4/mmm (No. 139), with a = 5.535 Å, b = 5.535 Å, c = 12.225 Å, α = 90.00°, β = 90.00° and γ = 90.00°. Symmetry generates all atoms from Y at (0.000, 0.500, 0.250), Hg at (0.000, 0.000, 0.000) and Bi at (0.000, 0.000, 0.365).

=====

## C
VASP calculation (PBE) on a geometry-optimized Y2HgBi2 structure.

Its size of the total moment is 0.00 μB per cell.

It has space group P4/mbm (No. 127), with a = 8.491 Å, b = 8.491 Å, c = 4.135 Å, α = 90.00°, β = 90.00° and γ = 90.00°. Symmetry generates all atoms from Y at (0.157, 0.343, 0.000), Hg at (0.000, 0.000, 0.500) and Bi at (0.148, 0.648, 0.500).

=====

The most stable arrangement is A, and the next structure is 104 meV per atom less stable.

=====

## A
VASP calculation (PBE) on a geometry-optimized ZnHg2Bi structure.

Its size of the total moment is 0.00 μB per cell.

It has space group Fm-3m (No. 225), with a = 7.381 Å, b = 7.381 Å, c = 7.381 Å, α = 90.00°, β = 90.00° and γ = 90.00°. Symmetry generates all atoms from Zn at (0.000, 0.000, 0.000), Hg at (0.250, 0.250, 0.250) and Bi at (0.000, 0.000, 0.500).

=====

## B
VASP calculation (PBE) on a geometry-optimized ZnHg2Bi structure.

Its size of the total moment is 0.00 μB per cell.

It has space group R3m (No. 160, hexagonal axes), with a = 4.5372 Å, b = 4.5372 Å, c = 17.4256 Å, α = 90.00°, β = 90.00° and γ = 120.00°. Symmetry generates all atoms from Zn at (0.0000, 0.0000, 0.0000), Hg at (0.0000, 0.0000, 0.3922), Hg at (0.0000, 0.0000, 0.5974) and Bi at (0.0000, 0.0000, 0.8257).

=====

## C
VASP calculation (PBE) on a geometry-optimized ZnHg2Bi structure.

Its size of the total moment is 0.00 μB per cell.

It has space group R-3m (No. 166, hexagonal axes), with a = 3.4350 Å, b = 3.4350 Å, c = 30.2451 Å, α = 90.00°, β = 90.00° and γ = 120.00°. Symmetry generates all atoms from Zn at (0.0000, 0.0000, 0.0000), Hg at (0.0000, 0.0000, 0.3994) and Bi at (0.0000, 0.0000, 0.5000).

=====

The most stable arrangement is C, and the next structure is 46 meV per atom less stable.

=====

## A
VASP calculation (PBE) on a geometry-optimized ZnHg2Bi structure.

Its size of the total moment is 0.00 μB per cell.

It has space group P4/mmm (No. 123), with a = 5.618 Å, b = 5.618 Å, c = 3.296 Å, α = 90.00°, β = 90.00° and γ = 90.00°. Symmetry generates all atoms from Zn at (0.000, 0.000, 0.000), Hg at (0.000, 0.500, 0.500) and Bi at (0.500, 0.500, 0.000).

=====

## B
VASP calculation (PBE) on a geometry-optimized ZnHg2Bi structure.

Its size of the total moment is 0.00 μB per cell.

It has space group I-42d (No. 122), with a = 4.760 Å, b = 4.760 Å, c = 19.029 Å, α = 90.00°, β = 90.00° and γ = 90.00°. Symmetry generates all atoms from Zn at (0.000, 0.000, 0.000), Hg at (0.193, 0.250, 0.125) and Bi at (0.000, 0.000, 0.500).

=====

The most stable arrangement is B, and the next structure is 28 meV per atom less stable.

=====

## A
VASP calculation (PBE) on a geometry-optimized ZnHgBi structure.

Its size of the total moment is 0.00 μB per cell.

It has space group I4mm (No. 107), with a = 3.346 Å, b = 3.346 Å, c = 13.246 Å, α = 90.00°, β = 90.00° and γ = 90.00°. Symmetry generates all atoms from Zn at (0.000, 0.000, 0.000), Hg at (0.000, 0.000, 0.635) and Bi at (0.000, 0.000, 0.338).

=====

## B
VASP calculation (PBE) on a geometry-optimized ZnHgBi structure.

Its size of the total moment is 0.00 μB per cell.

It has space group P3m1 (No. 156), with a = 3.6655 Å, b = 3.6655 Å, c = 6.5655 Å, α = 90.00°, β = 90.00° and γ = 120.00°. Symmetry generates all atoms from Zn at (0.0000, 0.0000, 0.0000), Hg at (0.6667, 0.3333, 0.2840) and Bi at (0.3333, 0.6667, 0.6760).

=====

The most stable arrangement is B, and the next structure is 33 meV per atom less stable.

=====

## A
VASP calculation (PBE) on a geometry-optimized Zn2Hg2Bi structure.

Its size of the total moment is 0.00 μB per cell.

It has space group P4/mbm (No. 127), with a = 8.250 Å, b = 8.250 Å, c = 3.380 Å, α = 90.00°, β = 90.00° and γ = 90.00°. Symmetry generates all atoms from Zn at (0.164, 0.336, 0.000), Hg at (0.136, 0.636, 0.500) and Bi at (0.000, 0.000, 0.000).

=====

## B
VASP calculation (PBE) on a geometry-optimized Zn2Hg2Bi structure.

Its size of the total moment is 0.00 μB per cell.

It has space group P4/mbm (No. 127), with a = 8.234 Å, b = 8.234 Å, c = 3.371 Å, α = 90.00°, β = 90.00° and γ = 90.00°. Symmetry generates all atoms from Zn at (0.159, 0.341, 0.000), Hg at (0.138, 0.638, 0.500) and Bi at (0.000, 0.000, 0.500).

=====

The most stable arrangement is A, and the next structure is 10 meV per atom less stable.

=====

## A
VASP calculation (PBE) on a geometry-optimized Zr6HgBi structure.

Its size of the total moment is 0.00 μB per cell.

It has space group P4/mmm (No. 123), with a = 4.510 Å, b = 4.510 Å, c = 8.866 Å, α = 90.00°, β = 90.00° and γ = 90.00°. Symmetry generates all atoms from Zr at (0.000, 0.000, 0.000), Zr at (0.000, 0.000, 0.500), Zr at (0.000, 0.500, 0.246), Hg at (0.500, 0.500, 0.000) and Bi at (0.500, 0.500, 0.500).

=====

## B
VASP calculation (PBE) on a geometry-optimized Zr6HgBi structure.

Its size of the total moment is 0.00 μB per cell.

It has space group R-3 (No. 148, hexagonal axes), with a = 8.0098 Å, b = 8.0098 Å, c = 9.7952 Å, α = 90.00°, β = 90.00° and γ = 120.00°. Symmetry generates all atoms from Zr at (0.0034, 0.7520, 0.2514), Hg at (0.0000, 0.0000, 0.5000) and Bi at (0.0000, 0.0000, 0.0000).

=====

The most stable arrangement is B, and the next structure is 29 meV per atom less stable.

=====

## A
VASP calculation (PBE) on a geometry-optimized Zr2Hg2Bi structure.

Its size of the total moment is 0.00 μB per cell.

It has space group I4/mmm (No. 139), with a = 4.261 Å, b = 4.261 Å, c = 14.194 Å, α = 90.00°, β = 90.00° and γ = 90.00°. Symmetry generates all atoms from Zr at (0.000, 0.500, 0.250), Hg at (0.000, 0.000, 0.099) and Bi at (0.000, 0.000, 0.500).

=====

## B
VASP calculation (PBE) on a geometry-optimized Zr2Hg2Bi structure.

Its size of the total moment is 0.00 μB per cell.

It has space group P4/mbm (No. 127), with a = 7.617 Å, b = 7.617 Å, c = 4.289 Å, α = 90.00°, β = 90.00° and γ = 90.00°. Symmetry generates all atoms from Zr at (0.150, 0.350, 0.000), Hg at (0.147, 0.647, 0.500) and Bi at (0.000, 0.000, 0.000).

=====

The most stable arrangement is B, and the next structure is 269 meV per atom less stable.

=====

## A
VASP calculation (PBE) on a geometry-optimized Zr2HgBi structure.

Its size of the total moment is 0.00 μB per cell.

It has space group P4/mmm (No. 123), with a = 3.765 Å, b = 3.765 Å, c = 6.555 Å, α = 90.00°, β = 90.00° and γ = 90.00°. Symmetry generates all atoms from Zr at (0.000, 0.000, 0.250), Hg at (0.500, 0.500, 0.000) and Bi at (0.500, 0.500, 0.500).

=====

## B
VASP calculation (PBE) on a geometry-optimized Zr2HgBi structure.

Its size of the total moment is 0.00 μB per cell.

It has space group I-42d (No. 122), with a = 7.955 Å, b = 7.955 Å, c = 6.306 Å, α = 90.00°, β = 90.00° and γ = 90.00°. Symmetry generates all atoms from Zr at (0.245, 0.250, 0.125), Hg at (0.000, 0.000, 0.000) and Bi at (0.000, 0.000, 0.500).

=====

## C
VASP calculation (PBE) on a geometry-optimized Zr2HgBi structure.

Its size of the total moment is 0.00 μB per cell.

It has space group P4/mmm (No. 123), with a = 4.646 Å, b = 4.646 Å, c = 4.276 Å, α = 90.00°, β = 90.00° and γ = 90.00°. Symmetry generates all atoms from Zr at (0.000, 0.500, 0.000), Hg at (0.000, 0.000, 0.500) and Bi at (0.500, 0.500, 0.500).

=====

The most stable arrangement is C, and the next structure is 18 meV per atom less stable.